1.
A plane-wave DFT calculation with PBE was carried out for a relaxed SmLuCd4 crystal.

Properties
* density: 8.8 g/cm³
* formation energy from the elements: -0.23 eV/atom
* energy: -2.38 eV per atom
* N(E_F): 4.67 states/eV per cell

Cell: 5.9118 5.9118 5.9118 Å, 60.00 60.00 60.00°
Sites, in units of the cell vectors:
Sm (0.0000, 0.0000, 0.0000)
Lu (0.7500, 0.7500, 0.7500)
Cd (0.3750, 0.3750, 0.3750)
Cd (0.3750, 0.3750, 0.8751)
Cd (0.3750, 0.8751, 0.3750)
Cd (0.8751, 0.3750, 0.3750)


2.
A plane-wave DFT calculation with PBE was carried out for a relaxed RbIr crystal.

Properties
* density: 5.9 g/cm³
* excess energy over the best structure of this formula in the dataset: 631 meV/atom
* formation energy from the elements: 1.01 eV/atom
* energy: -3.91 eV per atom
* N(E_F): 7.46 states/eV per cell

Cell: 10.4029 10.4029 10.4029 Å, 91.13 91.13 163.85°
Sites, in units of the cell vectors:
Rb (0.0419, 0.2539, 0.2957)
Rb (0.2539, 0.9581, 0.2120)
Rb (0.7461, 0.0419, 0.7880)
Rb (0.9581, 0.7461, 0.7043)
Ir (0.1809, 0.7444, 0.9253)
Ir (0.2556, 0.1809, 0.4365)
Ir (0.7444, 0.8191, 0.5635)
Ir (0.8191, 0.2556, 0.0747)


3.
A plane-wave DFT calculation with PBE was carried out for a relaxed BeOs2Rh crystal.

Properties
* density: 16.2 g/cm³
* formation energy from the elements: -0.16 eV/atom
* energy: -8.54 eV per atom
* N(E_F): 1.80 states/eV per cell

Cell: 2.7678 2.7678 6.5894 Å, 90.00 90.00 90.00°
Sites, in units of the cell vectors:
Be (0.0000, 0.0000, 0.0000)
Os (0.0000, 0.0000, 0.5007)
Os (0.5000, 0.5000, 0.2284)
Rh (0.5000, 0.5000, 0.7953)


4.
A plane-wave DFT calculation with PBE was carried out for a relaxed BeIrPb crystal.

Properties
* density: 13.0 g/cm³
* excess energy over the best structure of this formula in the dataset: 41 meV/atom
* formation energy from the elements: 0.14 eV/atom
* energy: -5.29 eV per atom
* N(E_F): 1.33 states/eV per cell

Cell: 3.9061 3.9061 3.9592 Å, 90.00 90.00 120.00°
Sites, in units of the cell vectors:
Be (0.0000, 0.0000, 0.0000)
Ir (0.6667, 0.3333, 0.0000)
Pb (0.3333, 0.6667, 0.5000)


5.
A plane-wave DFT calculation with PBE was carried out for a relaxed K2BeZn crystal.

Properties
* density: 2.0 g/cm³
* excess energy over the best structure of this formula in the dataset: 96 meV/atom
* formation energy from the elements: 0.47 eV/atom
* energy: -1.33 eV per atom
* N(E_F): 1.98 states/eV per cell

Cell: 3.5849 3.5849 10.0672 Å, 90.00 90.00 98.48°
Sites, in units of the cell vectors:
K (0.0000, 0.0000, 0.0000)
K (0.5000, 0.5000, 0.4064)
Be (0.0000, 0.0000, 0.6825)
Zn (0.5000, 0.5000, 0.7248)


6.
A plane-wave DFT calculation with PBE was carried out for a relaxed SmGdTe2 crystal.

Properties
* density: 7.6 g/cm³
* excess energy over the best structure of this formula in the dataset: 0 meV/atom
* energy: -7.67 eV per atom
* N(E_F): 3.78 states/eV per cell

Cell: 7.6533 7.6533 7.6533 Å, 33.67 33.67 33.67°
Sites, in units of the cell vectors:
Sm (0.0000, 0.0000, 0.0000)
Gd (0.5000, 0.5000, 0.5000)
Te (0.2487, 0.2487, 0.2487)
Te (0.7513, 0.7513, 0.7513)


7.
A plane-wave DFT calculation with PBE was carried out for a relaxed RbCePt4 crystal.

Properties
* density: 13.8 g/cm³
* formation energy from the elements: -0.55 eV/atom
* energy: -5.73 eV per atom
* N(E_F): 8.73 states/eV per cell

Cell: 5.5516 5.5516 5.5516 Å, 60.00 60.00 60.00°
Sites, in units of the cell vectors:
Rb (0.0000, 0.0000, 0.0000)
Ce (0.2500, 0.2500, 0.2500)
Pt (0.1256, 0.6248, 0.6248)
Pt (0.6248, 0.1256, 0.6248)
Pt (0.6248, 0.6248, 0.1256)
Pt (0.6248, 0.6248, 0.6248)


8.
A plane-wave DFT calculation with PBE was carried out for a relaxed MoPt3 crystal.

Properties
* density: 18.2 g/cm³
* formation energy from the elements: -0.23 eV/atom
* energy: -7.47 eV per atom
* N(E_F): 2.23 states/eV per cell

Cell: 9.3850 9.3850 9.3850 Å, 17.09 17.09 17.09°
Sites, in units of the cell vectors:
Mo (0.0000, 0.0000, 0.0000)
Pt (0.2532, 0.2532, 0.2532)
Pt (0.5000, 0.5000, 0.5000)
Pt (0.7468, 0.7468, 0.7468)


9.
A plane-wave DFT calculation with PBE was carried out for a relaxed NpNiI6 crystal.

Properties
* density: 5.2 g/cm³
* energy: -3.94 eV per atom
* N(E_F): 12.40 states/eV per cell

Cell: 7.9616 7.9616 7.1368 Å, 98.98 98.98 126.78°
Sites, in units of the cell vectors:
Np (0.0000, 0.0000, 0.0000)
Ni (0.5000, 0.5000, 0.5000)
I (0.1284, 0.4135, 0.2692)
I (0.2494, 0.2494, 0.7489)
I (0.4135, 0.1284, 0.2692)
I (0.5865, 0.8716, 0.7308)
I (0.7506, 0.7506, 0.2511)
I (0.8716, 0.5865, 0.7308)


10.
A plane-wave DFT calculation with PBE was carried out for a relaxed ZrCr3As crystal.

Properties
* density: 6.0 g/cm³
* excess energy over the best structure of this formula in the dataset: 0 meV/atom
* formation energy from the elements: 0.63 eV/atom
* energy: -7.78 eV per atom
* N(E_F): 3.81 states/eV per cell

Cell: 4.4603 4.4603 4.4603 Å, 90.00 90.00 90.00°
Sites, in units of the cell vectors:
Zr (0.0000, 0.0000, 0.0000)
Cr (0.0000, 0.5000, 0.5000)
Cr (0.5000, 0.0000, 0.5000)
Cr (0.5000, 0.5000, 0.0000)
As (0.5000, 0.5000, 0.5000)


11.
A plane-wave DFT calculation with PBE was carried out for a relaxed Cd2MoI crystal.

Properties
* density: 6.8 g/cm³
* excess energy over the best structure of this formula in the dataset: 0 meV/atom
* energy: -2.77 eV per atom
* N(E_F): 4.89 states/eV per cell

Cell: 6.7729 6.7729 6.7729 Å, 100.94 100.94 128.35°
Sites, in units of the cell vectors:
Cd (0.0908, 0.6250, 0.9658)
Cd (0.3750, 0.3408, 0.4658)
Cd (0.6592, 0.1250, 0.0342)
Cd (0.8750, 0.9092, 0.5342)
Mo (0.0000, 0.0000, 0.0000)
Mo (0.7500, 0.2500, 0.5000)
I (0.2500, 0.7500, 0.5000)
I (0.5000, 0.5000, 0.0000)


12.
A plane-wave DFT calculation with PBE was carried out for a relaxed BeNiAs4 crystal.

Properties
* density: 5.5 g/cm³
* formation energy from the elements: 0.87 eV/atom
* energy: -3.81 eV per atom
* N(E_F): 3.71 states/eV per cell

Cell: 5.3804 5.3804 5.3804 Å, 60.00 60.00 60.00°
Sites, in units of the cell vectors:
Be (0.0000, 0.0000, 0.0000)
Ni (0.7500, 0.7500, 0.7500)
As (0.3746, 0.3746, 0.3746)
As (0.3746, 0.3746, 0.8761)
As (0.3746, 0.8761, 0.3746)
As (0.8761, 0.3746, 0.3746)